1.
A plane-wave DFT calculation with SCAN was carried out for a crystal of V3Cu2P6WO24 relaxed with PBEsol. Values from VASP.

```
&SYSTEM
  ibrav = 0, nat = 36, ntyp = 5
/
ATOMIC_SPECIES
V 50.94 V.upf
Cu 63.55 Cu.upf
P 30.97 P.upf
W 183.84 W.upf
O 16.00 O.upf
CELL_PARAMETERS angstrom
4.2817 2.4720 6.9108
-4.2817 2.4720 6.9108
0.0000 -4.9440 6.9108
ATOMIC_POSITIONS crystal
V 0.0000 0.0000 0.0000
V 0.2198 0.2198 0.2198
V 0.7199 0.7199 0.7199
Cu 0.3576 0.3576 0.3576
Cu 0.8603 0.8603 0.8603
P 0.1033 0.3992 0.8283
P 0.3192 0.9052 0.6127
P 0.3992 0.8283 0.1033
P 0.6127 0.3192 0.9052
P 0.8283 0.1033 0.3992
P 0.9052 0.6127 0.3192
W 0.4998 0.4998 0.4998
O 0.0553 0.2348 0.8568
O 0.0954 0.4460 0.3021
O 0.1264 0.9133 0.7760
O 0.1704 0.3602 0.9839
O 0.2348 0.8568 0.0553
O 0.2716 0.4238 0.6286
O 0.3021 0.0954 0.4460
O 0.3602 0.9839 0.1704
O 0.3643 0.7376 0.5498
O 0.4238 0.6286 0.2716
O 0.4460 0.3021 0.0954
O 0.4840 0.8608 0.6694
O 0.5498 0.3643 0.7376
O 0.5945 0.8056 0.9431
O 0.6286 0.2716 0.4238
O 0.6694 0.4840 0.8608
O 0.7376 0.5498 0.3643
O 0.7760 0.1264 0.9133
O 0.8056 0.9431 0.5945
O 0.8568 0.0553 0.2348
O 0.8608 0.6694 0.4840
O 0.9133 0.7760 0.1264
O 0.9431 0.5945 0.8056
O 0.9839 0.1704 0.3602
```

Output
formation energy without anion corrections: -2.2846 eV per atom
raw total energy: -12.41 eV per atom

***

2.
A plane-wave DFT calculation with SCAN was carried out for a crystal of La4ScIn relaxed with PBEsol. Values from VASP.

```
&SYSTEM
  ibrav = 0, nat = 6, ntyp = 3
/
ATOMIC_SPECIES
La 138.91 La.upf
Sc 44.96 Sc.upf
In 114.82 In.upf
CELL_PARAMETERS angstrom
0.0000 4.5389 4.5389
4.5389 0.0000 4.5389
4.5389 4.5389 0.0000
ATOMIC_POSITIONS crystal
La 0.1242 0.1242 0.1242
La 0.1242 0.1242 0.6273
La 0.1242 0.6273 0.1242
La 0.6273 0.1242 0.1242
Sc 0.5000 0.5000 0.5000
In 0.7500 0.7500 0.7500
```

Output
formation enthalpy at 0 K: 153.2 meV per atom
raw total energy: -36.52 eV per atom

***

3.
A plane-wave DFT calculation with SCAN was carried out for a crystal of LiHg2Au relaxed with PBEsol. Values from VASP.

```
&SYSTEM
  ibrav = 0, nat = 4, ntyp = 3
/
ATOMIC_SPECIES
Li 6.94 Li.upf
Hg 200.59 Hg.upf
Au 196.97 Au.upf
CELL_PARAMETERS angstrom
4.2408 0.0000 0.0000
0.0000 4.2408 0.0000
0.0000 0.0000 4.1097
ATOMIC_POSITIONS crystal
Li 0.0000 0.0000 0.0000
Hg 0.0000 0.5000 0.5000
Hg 0.5000 0.0000 0.5000
Au 0.5000 0.5000 0.0000
```

Output
formation enthalpy at 0 K: -250.3 meV per atom
raw total energy: -52.22 eV per atom

***

4.
A plane-wave DFT calculation with SCAN was carried out for a crystal of SiHg relaxed with PBEsol. Values from VASP.

```
&SYSTEM
  ibrav = 0, nat = 6, ntyp = 2
/
ATOMIC_SPECIES
Si 28.09 Si.upf
Hg 200.59 Hg.upf
CELL_PARAMETERS angstrom
5.1713 0.0000 0.0000
0.0000 5.1713 0.0000
0.0000 0.0000 5.5228
ATOMIC_POSITIONS crystal
Si 0.0000 0.0000 0.0000
Si 0.0000 0.5000 0.5000
Si 0.5000 0.0000 0.5000
Hg 0.0000 0.0000 0.5000
Hg 0.0000 0.5000 0.0000
Hg 0.5000 0.0000 0.0000
```

Output
formation energy without anion corrections: 0.7700 eV per atom
raw total energy: -38.32 eV per atom
ΔE to the lowest computed polymorph: 0.4704 eV per atom

***

| no. | M_tot (μB per atom) |
| --- | --- |
| 1 | 0.14 |
| 2 | 0.25 |
| 3 | 0.00 |
| 4 | 0.00 |